No. 1
A plane-wave DFT calculation with PBE-GGA was carried out for an optimized crystal structure of Na5Cu2S4.

Unit cell a=8.407 b=8.407 c=8.011 alpha=105.12 beta=105.12 gamma=26.90
Element x y z (fractional)
Na 0.000 0.000 0.000
Na 0.325 0.325 0.057
Na 0.343 0.343 0.531
Na 0.657 0.657 0.469
Na 0.675 0.675 0.943
Cu 0.071 0.071 0.703
Cu 0.929 0.929 0.297
S 0.212 0.212 0.726
S 0.493 0.493 0.253
S 0.507 0.507 0.747
S 0.788 0.788 0.274

Values from the calculation:
ΔE_f (raw), eV per atom: -0.729
SG: C2/m
E, eV per cell: -39.3



No. 2
A plane-wave DFT calculation with PBE-GGA was carried out for an optimized crystal structure of CaTaH.

Unit cell a=3.436 b=3.678 c=8.886 alpha=90.00 beta=91.68 gamma=90.00
Element x y z (fractional)
Ca 0.000 0.000 0.000
Ca 0.482 0.500 0.652
Ta 0.477 0.500 0.250
Ta 0.954 0.000 0.396
H 0.474 0.000 0.518
H 0.637 0.000 0.209

Values from the calculation:
Energy above the most stable polymorph in this dataset, eV per formula unit: 0.531
SG: Pm
E, eV per cell: -33.8



No. 3
A plane-wave DFT calculation with PBE-GGA was carried out for an optimized crystal structure of SmHo3Mg.

Unit cell a=3.487 b=6.930 c=12.877 alpha=90.00 beta=97.76 gamma=90.00
Element x y z (fractional)
Sm 0.002 0.250 0.003
Sm 0.998 0.750 0.997
Ho 0.204 0.750 0.408
Ho 0.399 0.009 0.798
Ho 0.399 0.491 0.798
Ho 0.601 0.509 0.202
Ho 0.601 0.991 0.202
Ho 0.796 0.250 0.592
Mg 0.186 0.250 0.372
Mg 0.814 0.750 0.628

Values from the calculation:
Energy above the most stable polymorph in this dataset, eV per formula unit: 0.443
Formation energy, meV per atom: 73
SG: P2_1/m
E, eV per cell: -39.4



No. 4
A plane-wave DFT calculation with PBE-GGA was carried out for an optimized crystal structure of TlGaPtSe.

Unit cell a=2.967 b=8.197 c=8.197 alpha=27.00 beta=90.00 gamma=90.00
Element x y z (fractional)
Tl 0.000 0.000 0.000
Ga 0.500 0.789 0.789
Pt 0.000 0.346 0.346
Se 0.500 0.634 0.634

Values from the calculation:
Energy above the most stable polymorph in this dataset, eV per formula unit: 0.240
ΔE_f (raw), eV per atom: -0.254
SG: Amm2
E, eV per cell: -15.9



No. 5
A plane-wave DFT calculation with PBE-GGA was carried out for an optimized crystal structure of PuBP.

Unit cell a=5.605 b=5.605 c=3.267 alpha=90.00 beta=90.00 gamma=127.93
Element x y z (fractional)
Pu 0.086 0.914 0.750
Pu 0.914 0.086 0.250
B 0.278 0.722 0.250
B 0.722 0.278 0.750
P 0.376 0.624 0.750
P 0.624 0.376 0.250

Values from the calculation:
Energy above the most stable polymorph in this dataset, eV per formula unit: 1.505
Formation energy, meV per atom: -32
SG: Cmcm
E, eV per cell: -53.0



No. 6
A plane-wave DFT calculation with PBE-GGA was carried out for an optimized crystal structure of NbSiSe2.

Unit cell a=7.002 b=7.002 c=7.002 alpha=128.18 beta=128.18 gamma=76.33
Element x y z (fractional)
Nb 0.000 0.000 0.000
Nb 0.750 0.250 0.500
Si 0.250 0.750 0.500
Si 0.500 0.500 0.000
Se 0.119 0.625 0.994
Se 0.375 0.369 0.494
Se 0.631 0.125 0.006
Se 0.875 0.881 0.506

Values from the calculation:
ΔE_f (raw), eV per atom: 0.236
SG: I-42d
E, eV per cell: -43.0